1.
First-principles (PBE) data for a relaxed structure of MnVB2Ir, as listed in the Alexandria database.

Structure (CIF):
```
data_MnVB2Ir
_cell_length_a 3.922
_cell_length_b 3.922
_cell_length_c 4.530
_cell_angle_alpha 90.00
_cell_angle_beta 90.00
_cell_angle_gamma 90.00
_symmetry_space_group_name_H-M 'P 4/m m m'
_symmetry_Int_Tables_number 123
_symmetry_space_group_name_Hall '-P 4 2'
loop_
_atom_site_label
_atom_site_type_symbol
_atom_site_fract_x
_atom_site_fract_y
_atom_site_fract_z
Mn1 Mn 0.000 0.000 0.000
V1 V 0.500 0.500 0.500
B1 B 0.000 0.500 0.500
Ir1 Ir 0.500 0.500 0.000
```

2.
# PrSmDyZn, relaxed, DFT PBE
# Excess energy over the best structure of this formula in the dataset: 194 meV per atom
data_PrSmDyZn
_cell_length_a 7.699
_cell_length_b 7.699
_cell_length_c 7.699
_cell_angle_alpha 90.00
_cell_angle_beta 90.00
_cell_angle_gamma 90.00
_symmetry_space_group_name_H-M 'F -4 3 m'
_symmetry_Int_Tables_number 216
_symmetry_space_group_name_Hall 'F -4 2 3'
loop_
_atom_site_label
_atom_site_type_symbol
_atom_site_fract_x
_atom_site_fract_y
_atom_site_fract_z
Pr1 Pr 0.000 0.000 0.000
Sm1 Sm 0.000 0.000 0.500
Dy1 Dy 0.250 0.250 0.750
Zn1 Zn 0.250 0.250 0.250

3.
# AlTe2Pb, relaxed, DFT PBE
# Uncorrected formation energy: -60 kJ/mol of formula units
data_AlTe2Pb
_cell_length_a 7.564
_cell_length_b 7.564
_cell_length_c 9.910
_cell_angle_alpha 90.00
_cell_angle_beta 90.00
_cell_angle_gamma 90.00
_symmetry_space_group_name_H-M 'I -4 2 d'
_symmetry_Int_Tables_number 122
_symmetry_space_group_name_Hall 'I -4 2bw'
loop_
_atom_site_label
_atom_site_type_symbol
_atom_site_fract_x
_atom_site_fract_y
_atom_site_fract_z
Al1 Al 0.000 0.000 0.000
Te1 Te 0.194 0.750 0.125
Pb1 Pb 0.000 0.000 0.500

4.
# La2TiTl, relaxed, DFT PBE
# Excess energy over the best structure of this formula in the dataset: 127 meV per atom
data_La2TiTl
_cell_length_a 3.4759
_cell_length_b 3.4759
_cell_length_c 33.1567
_cell_angle_alpha 90.00
_cell_angle_beta 90.00
_cell_angle_gamma 120.00
_symmetry_space_group_name_H-M 'R -3 m'
_symmetry_Int_Tables_number 166
_symmetry_space_group_name_Hall '-R 3 2"'
loop_
_atom_site_label
_atom_site_type_symbol
_atom_site_fract_x
_atom_site_fract_y
_atom_site_fract_z
La1 La 0.0000 0.0000 0.2439
Ti1 Ti 0.0000 0.0000 0.5000
Tl1 Tl 0.0000 0.0000 0.0000

5.
# Sm12Y2Tm5, relaxed, DFT PBE
# Excess energy over the best structure of this formula in the dataset: 18 meV per atom
data_Sm12Y2Tm5
_cell_length_a 15.870
_cell_length_b 9.233
_cell_length_c 8.631
_cell_angle_alpha 90.00
_cell_angle_beta 91.15
_cell_angle_gamma 90.00
_symmetry_space_group_name_H-M 'C 1 2/m 1'
_symmetry_Int_Tables_number 12
loop_
_symmetry_equiv_pos_as_xyz
'x,y,z'
'-x,-y,-z'
'-x,y,-z'
'x,-y,z'
'x+1/2,y+1/2,z'
'-x+1/2,-y+1/2,-z'
'-x+1/2,y+1/2,-z'
'x+1/2,-y+1/2,z'
loop_
_atom_site_label
_atom_site_type_symbol
_atom_site_fract_x
_atom_site_fract_y
_atom_site_fract_z
Sm1 Sm 0.062 0.000 0.340
Sm2 Sm 0.089 0.500 0.884
Sm3 Sm 0.127 0.195 0.670
Sm4 Sm 0.154 0.318 0.239
Y1 Y 0.000 0.174 0.000
Tm1 Tm 0.000 0.500 0.500
Tm2 Tm 0.199 0.000 0.020
Tm3 Tm 0.231 0.500 0.570

6.
# NiGeTe4, relaxed, DFT PBE
# Excess energy over the best structure of this formula in the dataset: 155 meV per atom
# Uncorrected formation energy: 59 kJ/mol of formula units
data_NiGeTe4
_cell_length_a 9.126
_cell_length_b 9.126
_cell_length_c 8.013
_cell_angle_alpha 90.00
_cell_angle_beta 90.00
_cell_angle_gamma 90.00
_symmetry_space_group_name_H-M 'I 41 m d'
_symmetry_Int_Tables_number 109
_symmetry_space_group_name_Hall 'I 4bw -2'
loop_
_atom_site_label
_atom_site_type_symbol
_atom_site_fract_x
_atom_site_fract_y
_atom_site_fract_z
Ni1 Ni 0.000 0.000 0.000
Ge1 Ge 0.000 0.000 0.504
Te1 Te 0.000 0.304 0.017
Te2 Te 0.000 0.312 0.483

7.
# ReTe2Pd, relaxed, DFT PBE
# Excess energy over the best structure of this formula in the dataset: 405 meV per atom
# Uncorrected formation energy: 294 kJ/mol of formula units
data_ReTe2Pd
_cell_length_a 3.2875
_cell_length_b 3.2875
_cell_length_c 27.6615
_cell_angle_alpha 90.00
_cell_angle_beta 90.00
_cell_angle_gamma 120.00
_symmetry_space_group_name_H-M 'R -3 m'
_symmetry_Int_Tables_number 166
_symmetry_space_group_name_Hall '-R 3 2"'
loop_
_atom_site_label
_atom_site_type_symbol
_atom_site_fract_x
_atom_site_fract_y
_atom_site_fract_z
Re1 Re 0.0000 0.0000 0.0000
Te1 Te 0.0000 0.0000 0.0920
Pd1 Pd 0.0000 0.0000 0.5000

8.
# ZrSi3, relaxed, DFT PBE
# Uncorrected formation energy: 33 kJ/mol of formula units
data_ZrSi3
_cell_length_a 2.865
_cell_length_b 2.865
_cell_length_c 7.929
_cell_angle_alpha 90.00
_cell_angle_beta 90.00
_cell_angle_gamma 90.00
_symmetry_space_group_name_H-M 'P 4/m m m'
_symmetry_Int_Tables_number 123
_symmetry_space_group_name_Hall '-P 4 2'
loop_
_atom_site_label
_atom_site_type_symbol
_atom_site_fract_x
_atom_site_fract_y
_atom_site_fract_z
Zr1 Zr 0.000 0.000 0.000
Si1 Si 0.000 0.000 0.500
Si2 Si 0.500 0.500 0.260

Calculated values (eV/atom) of final energy for the records, taken in order: -6.489; -3.807; -3.589; -4.886; -4.709; -3.726; -5.220; -6.120.
Calculated values (states/eV/atom) of DOS at the Fermi energy for the records, taken in order: 1.229; 1.334; 0.870; 0.973; 1.459; 0.733; 0.856; 0.401.